1.
The following is a DFT calculation (PBE) of a geometry-optimized Li3GaP structure.

```
data_Li3GaP
_cell_length_a 4.650
_cell_length_b 4.650
_cell_length_c 4.650
_cell_angle_alpha 90.00
_cell_angle_beta 90.00
_cell_angle_gamma 90.00
_symmetry_space_group_name_H-M 'P m -3 m'
_symmetry_Int_Tables_number 221
_symmetry_space_group_name_Hall '-P 4 2 3'
loop_
_atom_site_label
_atom_site_fract_x
_atom_site_fract_y
_atom_site_fract_z
Li1 0.000 0.000 0.500
Ga1 0.500 0.500 0.500
P1 0.000 0.000 0.000
```

Output
- formation energy (eV per atom) = -0.2249
- offset from the most stable computed form (meV/atom) = 0.0


2.
The following is a DFT calculation (PBE) of a geometry-optimized LiGa2P structure.

```
data_LiGa2P
_cell_length_a 7.878
_cell_length_b 7.878
_cell_length_c 4.789
_cell_angle_alpha 90.00
_cell_angle_beta 90.00
_cell_angle_gamma 90.00
_symmetry_space_group_name_H-M 'I -4 2 d'
_symmetry_Int_Tables_number 122
_symmetry_space_group_name_Hall 'I -4 2bw'
loop_
_atom_site_label
_atom_site_fract_x
_atom_site_fract_y
_atom_site_fract_z
Li1 0.000 0.000 0.000
Ga1 0.181 0.250 0.625
P1 0.000 0.000 0.500
```

Output
- formation energy (eV per atom) = -0.2683


3.
The following is a DFT calculation (PBE) of a geometry-optimized Li2GaPPd structure.

```
data_Li2GaPPd
_cell_length_a 4.587
_cell_length_b 4.587
_cell_length_c 4.554
_cell_angle_alpha 90.00
_cell_angle_beta 90.00
_cell_angle_gamma 90.00
_symmetry_space_group_name_H-M 'P 4/m m m'
_symmetry_Int_Tables_number 123
_symmetry_space_group_name_Hall '-P 4 2'
loop_
_atom_site_label
_atom_site_fract_x
_atom_site_fract_y
_atom_site_fract_z
Li1 0.000 0.500 0.000
Ga1 0.000 0.000 0.000
P1 0.000 0.000 0.500
Pd1 0.500 0.500 0.500
```

Output
- formation energy (eV per atom) = 0.3649


4.
The following is a DFT calculation (PBE) of a geometry-optimized LiGa2PRh structure.

```
data_LiGa2PRh
_cell_length_a 4.454
_cell_length_b 4.454
_cell_length_c 4.107
_cell_angle_alpha 90.00
_cell_angle_beta 90.00
_cell_angle_gamma 90.00
_symmetry_space_group_name_H-M 'P 4/m m m'
_symmetry_Int_Tables_number 123
_symmetry_space_group_name_Hall '-P 4 2'
loop_
_atom_site_label
_atom_site_fract_x
_atom_site_fract_y
_atom_site_fract_z
Li1 0.000 0.000 0.000
Ga1 0.000 0.500 0.000
P1 0.000 0.000 0.500
Rh1 0.500 0.500 0.500
```

Output
- formation energy (eV per atom) = 0.5378


5.
The following is a DFT calculation (PBE) of a geometry-optimized LiGa2PRu structure.

```
data_LiGa2PRu
_cell_length_a 4.392
_cell_length_b 4.392
_cell_length_c 4.013
_cell_angle_alpha 90.00
_cell_angle_beta 90.00
_cell_angle_gamma 90.00
_symmetry_space_group_name_H-M 'P 4/m m m'
_symmetry_Int_Tables_number 123
_symmetry_space_group_name_Hall '-P 4 2'
loop_
_atom_site_label
_atom_site_fract_x
_atom_site_fract_y
_atom_site_fract_z
Li1 0.000 0.000 0.000
Ga1 0.000 0.500 0.000
P1 0.000 0.000 0.500
Ru1 0.500 0.500 0.500
```

Output
- formation energy (eV per atom) = 0.7537


6.
The following is a DFT calculation (PBE) of a geometry-optimized LiGaP2S structure.

```
data_LiGaP2S
_cell_length_a 4.714
_cell_length_b 4.714
_cell_length_c 4.963
_cell_angle_alpha 90.00
_cell_angle_beta 90.00
_cell_angle_gamma 90.00
_symmetry_space_group_name_H-M 'P 4/m m m'
_symmetry_Int_Tables_number 123
_symmetry_space_group_name_Hall '-P 4 2'
loop_
_atom_site_label
_atom_site_fract_x
_atom_site_fract_y
_atom_site_fract_z
Li1 0.000 0.000 0.000
Ga1 0.500 0.500 0.500
P1 0.000 0.500 0.500
S1 0.500 0.500 0.000
```

Output
- ΔE_f (raw) (eV/atom) = 0.48
- offset from the most stable computed form (meV/atom) = 0.0


7.
The following is a DFT calculation (PBE) of a geometry-optimized SrLiGaP2 structure.

```
data_SrLiGaP2
_cell_length_a 13.097
_cell_length_b 4.045
_cell_length_c 9.795
_cell_angle_alpha 90.00
_cell_angle_beta 124.68
_cell_angle_gamma 90.00
_symmetry_space_group_name_H-M 'C 1 2/m 1'
_symmetry_Int_Tables_number 12
_symmetry_space_group_name_Hall '-C 2y'
loop_
_atom_site_label
_atom_site_fract_x
_atom_site_fract_y
_atom_site_fract_z
Sr1 0.191 0.000 0.144
Li1 0.148 0.500 0.427
Ga1 0.037 0.000 0.685
P1 0.062 0.500 0.848
P2 0.165 0.000 0.581
```

Output
- formation energy (eV per atom) = -0.7637


8.
The following is a DFT calculation (PBE) of a geometry-optimized LiY2GaP structure.

```
data_LiY2GaP
_cell_length_a 5.357
_cell_length_b 5.357
_cell_length_c 4.431
_cell_angle_alpha 90.00
_cell_angle_beta 90.00
_cell_angle_gamma 90.00
_symmetry_space_group_name_H-M 'P 4/m m m'
_symmetry_Int_Tables_number 123
_symmetry_space_group_name_Hall '-P 4 2'
loop_
_atom_site_label
_atom_site_fract_x
_atom_site_fract_y
_atom_site_fract_z
Li1 0.000 0.000 0.000
Y1 0.000 0.500 0.500
Ga1 0.000 0.000 0.500
P1 0.500 0.500 0.000
```

Output
- formation energy (eV per atom) = -0.0941
- offset from the most stable computed form (meV/atom) = 0.0


9.
The following is a DFT calculation (PBE) of a geometry-optimized LiY2GaP structure.

```
data_LiY2GaP
_cell_length_a 5.503
_cell_length_b 5.503
_cell_length_c 4.599
_cell_angle_alpha 90.00
_cell_angle_beta 90.00
_cell_angle_gamma 90.00
_symmetry_space_group_name_H-M 'P 4/m m m'
_symmetry_Int_Tables_number 123
_symmetry_space_group_name_Hall '-P 4 2'
loop_
_atom_site_label
_atom_site_fract_x
_atom_site_fract_y
_atom_site_fract_z
Li1 0.000 0.000 0.000
Y1 0.000 0.500 0.500
Ga1 0.500 0.500 0.500
P1 0.500 0.500 0.000
```

Output
- formation energy (eV per atom) = 0.2122
- offset from the most stable computed form (meV/atom) = 306.3


10.
The following is a DFT calculation (PBE) of a geometry-optimized LiPa2Ga3 structure.

```
data_LiPa2Ga3
_cell_length_a 5.6770
_cell_length_b 5.6770
_cell_length_c 8.3964
_cell_angle_alpha 90.00
_cell_angle_beta 90.00
_cell_angle_gamma 120.00
_symmetry_space_group_name_H-M 'P 63/m m c'
_symmetry_Int_Tables_number 194
_symmetry_space_group_name_Hall '-P 6c 2c'
loop_
_atom_site_label
_atom_site_fract_x
_atom_site_fract_y
_atom_site_fract_z
Li1 0.0000 0.0000 0.0000
Pa1 0.3333 0.6667 0.0890
Ga1 0.1720 0.3441 0.7500
```

Output
- formation energy (eV per atom) = -0.2784
- offset from the most stable computed form (meV/atom) = 0.0


11.
The following is a DFT calculation (PBE) of a geometry-optimized Li2PaGa6 structure.

```
data_Li2PaGa6
_cell_length_a 7.9744
_cell_length_b 7.9744
_cell_length_c 3.0032
_cell_angle_alpha 90.00
_cell_angle_beta 90.00
_cell_angle_gamma 120.00
_symmetry_space_group_name_H-M 'P 6/m m m'
_symmetry_Int_Tables_number 191
_symmetry_space_group_name_Hall '-P 6 2'
loop_
_atom_site_label
_atom_site_fract_x
_atom_site_fract_y
_atom_site_fract_z
Li1 0.3333 0.6667 0.0000
Pa1 0.0000 0.0000 0.0000
Ga1 0.0000 0.3418 0.5000
```

Output
- formation energy (eV per atom) = -0.2526


12.
The following is a DFT calculation (PBE) of a geometry-optimized LiPa2Ga8 structure.

```
data_LiPa2Ga8
_cell_length_a 4.336
_cell_length_b 4.336
_cell_length_c 11.232
_cell_angle_alpha 90.00
_cell_angle_beta 90.00
_cell_angle_gamma 90.00
_symmetry_space_group_name_H-M 'P 4/m m m'
_symmetry_Int_Tables_number 123
_symmetry_space_group_name_Hall '-P 4 2'
loop_
_atom_site_label
_atom_site_fract_x
_atom_site_fract_y
_atom_site_fract_z
Li1 0.000 0.000 0.000
Pa1 0.000 0.000 0.312
Ga1 0.000 0.500 0.122
Ga2 0.000 0.500 0.500
Ga3 0.500 0.500 0.311
```

Output
- formation energy (eV per atom) = -0.2966